{
  "formula": "CrPtCl2",
  "functional": "meta-GGA SCAN",
  "state": "single point on PBEsol structure",
  "lattice_angstrom": [[-0.372, -3.265, -0.652], [2.580, -0.976, 3.416], [-3.519, -0.124, 2.623]],
  "species": ["Cr", "Pt", "Cl", "Cl"],
  "frac_coords": [[0.500, 0.500, 0.500], [0.500, 0.000, 0.000], [0.000, 0.000, 0.500], [0.000, 0.500, 0.000]],
  "n_ef_per_ev_fu": 3.8,
  "polymorph_energy_mev_per_atom": 0.0,
  "total_energy_ev_per_atom": -25.886,
  "vol_a3_per_cell": 64.6,
  "e_form_raw_ev_per_atom": 0.247
}